[1]
Here is a relaxed Fe2AsP crystal from the Alexandria database. Energies are from PBE.

Summary:
The value obtained for the volume is 63 Å³/f.u. As for the space group: R3m (160). For the total magnetization, the calculation gives 3.312 μB/f.u. The calculation puts the formation energy from the elements at 0.1170 eV/atom.

Unit cell a=9.341 b=9.341 c=9.341 alpha=17.31 beta=17.31 gamma=17.31
Last column: magnetic moment on the atom in μB.
Fractional coordinates of all 4 atoms:
Fe  0.991  0.991  0.991  2.01
Fe  0.255  0.255  0.255  1.73
As  0.724  0.724  0.724  -0.12
P  0.530  0.530  0.530  -0.12

***

[2]
Here is a relaxed NaLiZnBi crystal from the Alexandria database. Energies are from PBE.

Summary:
The value obtained for the volume is 92 Å³/f.u. As for the space group: F-43m (216). For the total magnetization, the calculation gives 0.000 μB/f.u. The calculation puts the formation energy from the elements at -0.1586 eV/atom.

Unit cell a=5.068 b=5.068 c=5.068 alpha=60.00 beta=60.00 gamma=60.00
Fractional coordinates of all 4 atoms:
Zn  0.250  0.250  0.250
Li  0.750  0.750  0.750
Bi  0.000  0.000  0.000
Na  0.500  0.500  0.500

***

[3]
Here is a relaxed CrBr crystal from the Alexandria database. Energies are from PBE.

Summary:
For the uncorrected formation energy, the calculation gives 0.124 eV/atom. The value obtained for the volume is 54 Å³/f.u. As for the space group: P3m1 (156). For the total magnetization, the calculation gives 0.003 μB/f.u.

Unit cell a=4.143 b=4.143 c=21.769 alpha=90.00 beta=90.00 gamma=120.00
Last column: magnetic moment on the atom in μB.
Fractional coordinates of all 12 atoms:
Br  0.667  0.333  0.586  0.05
Br  0.333  0.667  0.249  -0.05
Cr  0.000  0.000  0.704  3.84
Br  0.000  0.000  0.918  -0.05
Cr  0.333  0.667  0.966  3.83
Br  0.000  0.000  0.082  0.05
Br  0.333  0.667  0.414  0.05
Cr  0.667  0.333  0.366  -3.85
Cr  0.667  0.333  0.034  -3.83
Cr  0.000  0.000  0.296  3.84
Cr  0.333  0.667  0.634  -3.85
Br  0.667  0.333  0.751  -0.05

***

[4]
Here is a relaxed AgRu2Br crystal from the Alexandria database. Energies are from PBE.

Summary:
For the uncorrected formation energy, the calculation gives 0.466 eV/atom. The value obtained for the volume is 72 Å³/f.u. As for the space group: P4mm (99). For the total magnetization, the calculation gives 0.000 μB/f.u.

Unit cell a=2.948 b=2.948 c=8.242 alpha=90.00 beta=90.00 gamma=90.00
Fractional coordinates of all 4 atoms:
Ru  0.000  0.000  0.028
Br  0.500  0.500  0.798
Ru  0.500  0.500  0.213
Ag  0.000  0.000  0.460

***

[5]
Here is a relaxed Sr2YTe crystal from the Alexandria database. Energies are from PBE.

Summary:
For the uncorrected formation energy, the calculation gives -0.554 eV/atom. The value obtained for the volume is 154 Å³/f.u. As for the space group: Imm2 (44). For the total magnetization, the calculation gives 0.033 μB/f.u.

Unit cell a=7.306 b=7.306 c=7.306 alpha=147.63 beta=131.77 gamma=59.29
Fractional coordinates of all 4 atoms:
Te  0.513  0.513  0.000
Sr  0.295  0.795  0.500
Y  0.699  0.199  0.500
Sr  0.993  0.993  0.000

***

[6]
Here is a relaxed LiSc6Ru5 crystal from the Alexandria database. Energies are from PBE.

Summary:
The value obtained for the volume is 203 Å³/f.u. As for the space group: Immm (71). For the total magnetization, the calculation gives 0.000 μB/f.u. The calculation puts the formation energy from the elements at -0.5018 eV/atom.

Unit cell a=4.584 b=6.496 c=7.886 alpha=114.32 beta=106.90 gamma=90.00
Fractional coordinates of all 12 atoms:
Ru  0.337  0.837  0.674
Ru  0.334  0.334  0.668
Sc  0.828  0.085  0.656
Ru  0.000  0.500  0.000
Sc  0.172  0.915  0.344
Sc  0.172  0.429  0.344
Sc  0.828  0.571  0.656
Li  0.000  0.000  0.000
Sc  0.500  0.737  0.000
Ru  0.663  0.163  0.326
Sc  0.500  0.263  0.000
Ru  0.666  0.666  0.332

***

[7]
Here is a relaxed K8VS6 crystal from the Alexandria database. Energies are from PBE.

Summary:
For the uncorrected formation energy, the calculation gives -1.010 eV/atom. The value obtained for the volume is 514 Å³/f.u. As for the space group: Pmn2_1 (31). For the total magnetization, the calculation gives 1.000 μB/f.u.

Unit cell a=8.916 b=8.551 c=13.494 alpha=90.00 beta=90.00 gamma=90.00
Last column: magnetic moment on the atom in μB.
Fractional coordinates of all 30 atoms:
K  0.045  0.263  0.599  0.00
S  0.989  0.000  0.440  -0.02
S  0.712  0.791  0.603  -0.02
K  0.888  0.804  0.830  0.00
S  0.732  0.000  0.009  0.00
S  0.591  0.000  0.383  -0.02
S  0.409  0.500  0.883  -0.02
K  0.591  0.220  0.208  0.00
S  0.268  0.500  0.509  0.00
K  0.888  0.196  0.830  0.00
V  0.247  0.500  0.007  0.96
K  0.377  0.000  0.955  0.00
K  0.045  0.737  0.599  0.00
S  0.183  0.000  0.741  0.00
K  0.409  0.280  0.708  0.00
K  0.955  0.237  0.099  0.00
S  0.288  0.291  0.103  -0.02
K  0.664  0.500  0.022  0.00
K  0.409  0.720  0.708  0.00
K  0.623  0.500  0.455  0.00
K  0.955  0.763  0.099  0.00
K  0.112  0.304  0.330  0.00
S  0.288  0.709  0.103  -0.02
K  0.591  0.780  0.208  0.00
S  0.817  0.500  0.241  0.00
K  0.336  0.000  0.522  0.00
V  0.753  0.000  0.507  0.96
K  0.112  0.696  0.330  0.00
S  0.712  0.209  0.603  -0.02
S  0.011  0.500  0.940  -0.02

***

[8]
Here is a relaxed Sr2MgSi2Rh5 crystal from the Alexandria database. Energies are from PBE.

Summary:
For the uncorrected formation energy, the calculation gives -0.628 eV/atom. The value obtained for the volume is 178 Å³/f.u. As for the space group: P4/mbm (127). For the total magnetization, the calculation gives 0.000 μB/f.u.

Unit cell a=3.311 b=10.379 c=10.379 alpha=90.00 beta=90.00 gamma=90.00
Fractional coordinates of all 20 atoms:
Si  0.000  0.124  0.624
Rh  0.500  0.220  0.068
Rh  0.500  0.720  0.432
Rh  0.500  0.500  0.000
Rh  0.500  0.432  0.280
Mg  0.000  0.500  0.500
Si  0.000  0.876  0.376
Mg  0.000  0.000  0.000
Sr  0.000  0.325  0.825
Si  0.000  0.624  0.876
Sr  0.000  0.825  0.675
Si  0.000  0.376  0.124
Sr  0.000  0.175  0.325
Rh  0.500  0.568  0.720
Rh  0.500  0.000  0.500
Rh  0.500  0.932  0.220
Rh  0.500  0.068  0.780
Rh  0.500  0.780  0.932
Rh  0.500  0.280  0.568
Sr  0.000  0.675  0.175

***

[9]
Here is a relaxed Tm4Te3Se crystal from the Alexandria database. Energies are from PBE.

Summary:
For the uncorrected formation energy, the calculation gives -1.294 eV/atom. The value obtained for the volume is 216 Å³/f.u. As for the space group: Cmmm (65). For the total magnetization, the calculation gives 0.000 μB/f.u.

Unit cell a=4.240 b=7.350 c=7.350 alpha=109.65 beta=90.00 gamma=90.00
Fractional coordinates of all 8 atoms:
Te  0.500  0.500  0.500
Tm  0.000  0.220  0.220
Te  0.000  0.000  0.500
Tm  0.500  0.768  0.232
Tm  0.000  0.780  0.780
Se  0.500  0.000  0.000
Te  0.000  0.500  0.000
Tm  0.500  0.232  0.768

***

[10]
Here is a relaxed CuAuSe2O8 crystal from the Alexandria database. Energies are from PBE.

Summary:
For the uncorrected formation energy, the calculation gives -0.328 eV/atom. The value obtained for the volume is 175 Å³/f.u. As for the space group: C2/m (12). For the total magnetization, the calculation gives 0.056 μB/f.u.

Unit cell a=5.315 b=6.777 c=6.304 alpha=61.28 beta=65.07 gamma=66.91
Last column: magnetic moment on the atom in μB.
Fractional coordinates of all 12 atoms:
O  0.622  0.054  0.210  -0.02
O  0.378  0.946  0.790  -0.02
O  0.138  0.348  0.375  0.01
Cu  0.000  0.000  0.000  -0.13
O  0.886  0.946  0.790  -0.02
O  0.334  0.458  0.873  0.01
O  0.862  0.652  0.625  0.01
Se  0.696  0.767  0.841  0.00
Au  0.500  0.500  0.500  0.10
O  0.666  0.542  0.127  0.01
Se  0.304  0.233  0.159  0.00
O  0.114  0.054  0.210  -0.02

***

[11]
Here is a relaxed KBaSc2 crystal from the Alexandria database. Energies are from PBE.

Summary:
The value obtained for the volume is 147 Å³/f.u. As for the space group: R-3m (166). For the total magnetization, the calculation gives 1.190 μB/f.u. The calculation puts the formation energy from the elements at 0.6087 eV/atom.

Unit cell a=13.504 b=13.504 c=13.504 alpha=15.15 beta=15.15 gamma=15.15
Last column: magnetic moment on the atom in μB.
Fractional coordinates of all 4 atoms:
Sc  0.911  0.911  0.911  0.26
Ba  0.500  0.500  0.500  0.00
Sc  0.089  0.089  0.089  0.26
K  0.000  0.000  0.000  0.02

***

[12]
Here is a relaxed Pm3DyIn3 crystal from the Alexandria database. Energies are from PBE.

Summary:
The value obtained for the volume is 215 Å³/f.u. As for the space group: C2/m (12). For the total magnetization, the calculation gives 0.002 μB/f.u. The calculation puts the formation energy from the elements at -0.2736 eV/atom.

Unit cell a=6.725 b=6.725 c=9.864 alpha=90.90 beta=90.90 gamma=105.11
Fractional coordinates of all 14 atoms:
Pm  0.232  0.768  0.000
In  0.047  0.483  0.259
Pm  0.768  0.232  0.000
In  0.024  0.024  0.767
Pm  0.181  0.819  0.500
In  0.483  0.047  0.259
In  0.953  0.517  0.741
Pm  0.589  0.589  0.319
Dy  0.716  0.716  0.961
In  0.517  0.953  0.741
Pm  0.411  0.411  0.681
Pm  0.819  0.181  0.500
Dy  0.284  0.284  0.039
In  0.976  0.976  0.233